No. 1
{"formula": "Li2TiBi", "functional": "PBE", "state": "relaxed", "dos_ef_per_ev_cell": 6.508, "density_g_cm3": 5.213, "e_tot_ry_per_atom": -0.280, "lattice_angstrom": [[4.0247, 0.0000, 0.0000], [0.0000, 4.0247, 0.0000], [2.0123, 2.0123, 10.6485]], "species": ["Ti", "Ti", "Li", "Li", "Bi", "Li", "Li", "Bi"], "frac_coords": [[0.2500, 0.7500, 0.5000], [0.5000, 0.5000, 0.0000], [0.6250, 0.1250, 0.2500], [0.8750, 0.8750, 0.7500], [0.7500, 0.2500, 0.5000], [0.3750, 0.3750, 0.7500], [0.1250, 0.6250, 0.2500], [0.0000, 0.0000, 0.0000]]}

No. 2
{"formula": "ReRhW2Se", "functional": "PBE", "state": "relaxed", "dos_ef_per_ev_cell": 7.266, "density_g_cm3": 13.157, "e_tot_ry_per_atom": -0.597, "de_polymorph_mev_per_atom": 0, "e_form_raw_ev_per_atom": 1.72, "lattice_angstrom": [[-3.9490, -2.2428, -0.2709], [1.2255, -2.5761, 3.4626], [-1.8866, 2.9738, 2.8802]], "species": ["W", "Se", "Rh", "W", "Re"], "frac_coords": [[0.5000, 0.0000, 0.0000], [0.0000, 0.0000, 0.0000], [0.5000, 0.5000, 0.5000], [0.0000, 0.0000, 0.5000], [0.0000, 0.5000, 0.0000]]}

No. 3
{"formula": "MgSi2Pt", "functional": "PBE", "state": "relaxed", "dos_ef_per_ev_cell": 1.308, "density_g_cm3": 7.253, "e_tot_ry_per_atom": -0.351, "e_form_raw_ev_per_atom": -0.15, "lattice_angstrom": [[2.9151, 0.0085, 0.0000], [-0.0085, 2.9151, 0.0000], [0.0000, 0.0000, 7.4237]], "species": ["Mg", "Si", "Pt", "Si"], "frac_coords": [[0.0000, 0.0000, 0.5103], [0.5000, 0.5000, 0.2263], [0.5000, 0.5000, 0.7752], [0.0000, 0.0000, 0.9881]]}

Copy entry 1 word for word.
{"formula": "Li2TiBi", "functional": "PBE", "state": "relaxed", "dos_ef_per_ev_cell": 6.508, "density_g_cm3": 5.213, "e_tot_ry_per_atom": -0.280, "lattice_angstrom": [[4.0247, 0.0000, 0.0000], [0.0000, 4.0247, 0.0000], [2.0123, 2.0123, 10.6485]], "species": ["Ti", "Ti", "Li", "Li", "Bi", "Li", "Li", "Bi"], "frac_coords": [[0.2500, 0.7500, 0.5000], [0.5000, 0.5000, 0.0000], [0.6250, 0.1250, 0.2500], [0.8750, 0.8750, 0.7500], [0.7500, 0.2500, 0.5000], [0.3750, 0.3750, 0.7500], [0.1250, 0.6250, 0.2500], [0.0000, 0.0000, 0.0000]]}

What is the formula in the third record?
MgSi2Pt